[1]
80
Lattice="15.7519 0.0000 0.0000 -5.2506 14.8511 0.0000 -5.2506 -7.4255 12.8614" Properties=species:S:1:pos:R:3 comment="Tb12Th5Sn3 | Alexandria | GGA-PBE | relaxed" energy_ev_per_atom=-4.415 spacegroup="Ia-3d (230)" vol_a3_per_atom=37.6 formation_energy_ev_per_atom=0.819 total_magnetization_mub_per_atom=0.000 pbc="T T T"
Sn 9.1886 4.6410 1.6077
Sn 9.1886 10.2101 1.6077
Sn -1.3127 6.4973 8.0384
Sn 1.3127 -0.9282 4.8230
Sn 11.8140 0.0000 3.2154
Sn 1.3127 7.4255 3.2154
Sn 3.9380 0.0000 9.6461
Sn -6.5633 7.4255 9.6461
Sn 3.9380 8.3537 8.0384
Sn 6.5633 0.9282 4.8230
Sn -3.9380 -2.7846 11.2537
Sn -3.9380 2.7846 11.2537
Th -1.3127 3.7128 3.2154
Th -2.6253 7.4255 0.0000
Th 0.0000 0.0000 0.0000
Th 3.9380 2.7846 1.6077
Th 5.2506 -3.7128 6.4307
Th 5.2506 7.4255 0.0000
Th -3.9380 8.3537 4.8230
Th 6.5633 -4.6410 11.2537
Th 6.5633 6.4973 4.8230
Th 1.3127 -3.7128 9.6461
Th 3.9380 11.1383 3.2154
Th 2.6253 3.7128 6.4307
Th 7.8760 0.0000 0.0000
Th -2.6253 -3.7128 6.4307
Th -1.3127 0.9282 8.0384
Th -1.3127 12.0665 1.6077
Th -5.2506 3.7128 6.4307
Th 9.1886 -0.9282 8.0384
Th 1.3127 4.6410 11.2537
Th 6.5633 3.7128 9.6461
Tb 10.4000 1.6432 0.9437
Tb 0.1013 5.3516 5.4795
Tb 11.3467 3.2609 3.4237
Tb 7.0305 2.3782 1.8949
Tb 1.9175 5.9937 8.4941
Tb 10.7402 7.3326 2.0634
Tb -0.8455 8.3082 5.3185
Tb -4.4052 12.4728 1.8949
Tb 0.7079 8.8573 8.4941
Tb 7.6371 7.5185 2.0634
Tb 7.9773 3.7171 4.5358
Tb 7.9772 13.2079 0.9437
Tb -4.5428 6.6402 7.3744
Tb 2.8642 5.6851 1.1122
Tb -5.3519 11.1339 4.5358
Tb 2.7266 -2.0739 7.3819
Tb -0.7078 0.6465 3.0070
Tb 2.8642 9.2590 0.9512
Tb 7.0305 11.5902 3.4237
Tb -0.2389 5.5921 0.9512
Tb -3.3332 8.0720 9.8544
Tb 3.4708 6.5429 5.3185
Tb 7.1681 8.2109 7.3744
Tb 5.4895 -1.7405 11.7492
Tb 1.7799 0.8826 7.5429
Tb -1.9175 -0.7853 5.4870
Tb -0.2389 9.1660 1.1122
Tb -1.7799 -4.1646 9.4377
Tb 8.5838 -0.6465 3.0070
Tb 5.4895 1.8334 11.9102
Tb 2.3865 -1.8334 11.9102
Tb 2.5241 9.4995 5.4795
Tb 5.9585 6.7791 9.8544
Tb 10.6026 -3.7084 8.3256
Tb 9.7934 0.7854 5.4870
Tb -2.7266 -5.7824 11.9177
Tb 2.3865 1.7405 11.7492
Tb 4.5428 -1.4318 4.3673
Tb -2.3864 -0.0929 10.7980
Tb -2.7266 3.7084 8.3256
Tb 9.6558 -5.0473 10.9665
Tb 6.0961 -0.8827 7.5429
Tb -1.7799 5.0473 10.9665
Tb -5.4895 0.0929 10.7980
Tb 3.3332 1.4318 4.3673
Tb -6.0961 4.1647 9.4377
Tb 5.1494 2.0739 7.3819
Tb -5.1494 5.7824 11.9177

[2]
10
Lattice="4.3699 0.0000 0.0000 0.0000 4.3699 0.0000 0.0000 0.0000 10.2121" Properties=species:S:1:pos:R:3 comment="La2Ga3Cu4Sn | Alexandria | GGA-PBE | relaxed" energy_ev_per_atom=-4.375 spacegroup="P-4m2 (115)" vol_a3_per_atom=19.5 formation_energy_ev_per_atom=-0.443 total_magnetization_mub_per_atom=0.000 pbc="T T T"
La 2.1850 0.0000 2.4188
La 0.0000 2.1850 7.7933
Ga 0.0000 0.0000 5.1061
Ga 2.1850 0.0000 8.9870
Ga 0.0000 2.1850 1.2251
Cu 2.1850 2.1850 0.0000
Cu 0.0000 0.0000 0.0000
Cu 2.1850 0.0000 6.5522
Cu 0.0000 2.1850 3.6599
Sn 2.1850 2.1850 5.1061

[3]
5
Lattice="-2.3760 3.6989 -2.6087 -4.2578 -2.8261 -0.1292 -1.5357 2.1127 4.3944" Properties=species:S:1:pos:R:3 comment="SbRhAu3 | Alexandria | GGA-PBE | relaxed" energy_ev_per_atom=-3.268 e_above_lowest_polymorph_mev_per_atom=129 spacegroup="Pm-3m (221)" vol_a3_per_atom=26.7 raw_formation_energy_mev_per_atom=993 total_magnetization_mub_per_atom=0.200 pbc="T T T"
Sb 0.0000 0.0000 0.0000
Au -2.1289 -1.4131 -0.0646
Au -0.7678 1.0564 2.1972
Au -1.1880 1.8495 -1.3043
Rh -4.0847 1.4928 0.8283